No. 1
A geometry-optimized Nd2Zn3InAu4 structure. Source: Alexandria, functional PBE-GGA.

a = 4.277 Å, b = 4.277 Å, c = 11.711 Å
α = 90.00°, β = 90.00°, γ = 90.00°
Fractional positions:
Nd (0.500, 0.000, 0.238)
Nd (0.000, 0.500, 0.762)
Zn (0.000, 0.000, 0.500)
Zn (0.500, 0.000, 0.869)
Zn (0.000, 0.500, 0.131)
In (0.500, 0.500, 0.500)
Au (0.500, 0.500, 0.000)
Au (0.000, 0.000, 0.000)
Au (0.500, 0.000, 0.653)
Au (0.000, 0.500, 0.347)

Output
The value obtained for the volume is 214 Å³ per cell. The calculated density is 10.75 g/cm3. As for the total DFT energy (no corrections): -0.2534 Ry/atom.



No. 2
A geometry-optimized NdZnIn2Au2 structure. Source: Alexandria, functional PBE-GGA.

a = 5.452 Å, b = 5.452 Å, c = 6.757 Å
α = 113.79°, β = 113.79°, γ = 90.00°
Fractional positions:
Nd (0.500, 0.500, 0.000)
Zn (0.000, 0.000, 0.000)
In (0.250, 0.750, 0.500)
In (0.750, 0.250, 0.500)
Au (0.776, 0.776, 0.551)
Au (0.224, 0.224, 0.449)

Output
The value obtained for the volume is 165 Å³ per cell. The calculated density is 8.39 g/cm3. As for the total DFT energy (no corrections): -0.2278 Ry/atom.



No. 3
A geometry-optimized NdZrInAu structure. Source: Alexandria, functional PBE-GGA.

a = 5.174 Å, b = 5.174 Å, c = 5.174 Å
α = 60.00°, β = 60.00°, γ = 60.00°
Fractional positions:
Nd (0.750, 0.750, 0.750)
Au (0.000, 0.000, 0.000)
Zr (0.250, 0.250, 0.250)
In (0.500, 0.500, 0.500)

Output
The value obtained for the volume is 98 Å³ per cell. The calculated density is 9.28 g/cm3. As for the total DFT energy (no corrections): -0.3810 Ry/atom.



No. 4
A geometry-optimized In4NiAu structure. Source: Alexandria, functional PBE-GGA.

a = 5.895 Å, b = 5.895 Å, c = 5.895 Å
α = 60.00°, β = 60.00°, γ = 60.00°
Fractional positions:
In (0.874, 0.375, 0.375)
In (0.375, 0.375, 0.874)
In (0.375, 0.874, 0.375)
In (0.375, 0.375, 0.375)
Ni (0.750, 0.750, 0.750)
Au (0.000, 0.000, 0.000)

Output
The value obtained for the volume is 145 Å³ per cell. The calculated density is 8.19 g/cm3. As for the total DFT energy (no corrections): -0.2045 Ry/atom.



Q: What is the volume in the third record?
A: 98 Å³ per cell



Q: Which value of volume does entry 3 give?
A: 98 Å³ per cell